DFT (GGA-PBE) results for a relaxed NaCd crystal.

Values from the calculation:
- Formation energy: 258 meV/atom
- Raw total energy: -0.8591 eV per atom
- Space-group type: I-43m, No. 217

Lattice parameters (Å, degrees): 9.613 9.613 9.613 90.00 90.00 90.00
Atoms (fractional coordinates):
Na (0.294, 0.294, 0.706)
Na (0.794, 0.794, 0.206)
Na (0.206, 0.206, 0.206)
Na (0.706, 0.706, 0.706)
Na (0.206, 0.794, 0.794)
Na (0.794, 0.206, 0.794)
Na (0.706, 0.294, 0.294)
Na (0.294, 0.706, 0.294)
Cd (0.613, 0.613, 0.387)
Cd (0.613, 0.387, 0.613)
Cd (0.113, 0.887, 0.113)
Cd (0.387, 0.613, 0.613)
Cd (0.887, 0.887, 0.887)
Cd (0.387, 0.387, 0.387)
Cd (0.887, 0.113, 0.113)
Cd (0.113, 0.113, 0.887)